# 1
! SmHo2CuS5 (GGA-PBE, relaxed); values from VASP
! Formation energy without anion corrections: -1678 meV/atom
! Size of the total moment: 0.0 μB per formula unit
&SYSTEM
  ibrav = 0, nat = 18, ntyp = 4
/
ATOMIC_SPECIES
Sm 150.36 Sm.upf
Ho 164.93 Ho.upf
Cu 63.55 Cu.upf
S 32.06 S.upf
CELL_PARAMETERS angstrom
1.9023 -8.9603 0.0000
1.9023 8.9603 0.0000
0.0000 0.0000 11.0969
ATOMIC_POSITIONS crystal
Sm 0.1957 0.8043 0.5000
Sm 0.8043 0.1957 0.0000
Ho 0.0923 0.9077 0.1734
Ho 0.1111 0.8889 0.7989
Ho 0.8889 0.1111 0.2989
Ho 0.9077 0.0923 0.6734
Cu 0.4373 0.5627 0.9431
Cu 0.5627 0.4373 0.4431
S 0.0457 0.9543 0.5539
S 0.3008 0.6992 0.1828
S 0.3291 0.6709 0.8224
S 0.3591 0.6409 0.4950
S 0.4960 0.5040 0.2704
S 0.5040 0.4960 0.7704
S 0.6409 0.3591 0.9950
S 0.6709 0.3291 0.3224
S 0.6992 0.3008 0.6828
S 0.9543 0.0457 0.0539

# 2
! Sm3Ho3CuS8 (GGA-PBE, relaxed); values from VASP
! Formation energy without anion corrections: -1817 meV/atom
! Size of the total moment: 0.0 μB per formula unit
&SYSTEM
  ibrav = 0, nat = 15, ntyp = 4
/
ATOMIC_SPECIES
Sm 150.36 Sm.upf
Ho 164.93 Ho.upf
Cu 63.55 Cu.upf
S 32.06 S.upf
CELL_PARAMETERS angstrom
3.9074 2.2560 6.4166
-3.9074 2.2560 6.4166
0.0000 -4.5119 6.4166
ATOMIC_POSITIONS crystal
Sm 0.0000 0.5000 0.5000
Sm 0.5000 0.0000 0.5000
Sm 0.5000 0.5000 0.0000
Ho 0.0000 0.0000 0.5000
Ho 0.0000 0.5000 0.0000
Ho 0.5000 0.0000 0.0000
Cu 0.5000 0.5000 0.5000
S 0.2468 0.2468 0.2468
S 0.2499 0.7433 0.7433
S 0.2567 0.2567 0.7501
S 0.2567 0.7501 0.2567
S 0.7433 0.2499 0.7433
S 0.7433 0.7433 0.2499
S 0.7501 0.2567 0.2567
S 0.7532 0.7532 0.7532

# 3
! Ho3CuSnS7 (GGA-PBE, relaxed); values from VASP
! Formation energy without anion corrections: -1409 meV/atom
! Size of the total moment: 0.0 μB per formula unit
&SYSTEM
  ibrav = 0, nat = 24, ntyp = 4
/
ATOMIC_SPECIES
Ho 164.93 Ho.upf
Cu 63.55 Cu.upf
Sn 118.71 Sn.upf
S 32.06 S.upf
CELL_PARAMETERS angstrom
9.7126 0.0000 0.0000
-4.8563 8.4114 0.0000
0.0000 0.0000 6.2637
ATOMIC_POSITIONS crystal
Ho 0.1523 0.7926 0.0000
Ho 0.2074 0.3597 0.0000
Ho 0.3597 0.1523 0.5000
Ho 0.6403 0.8477 0.0000
Ho 0.7926 0.6403 0.5000
Ho 0.8477 0.2074 0.5000
Cu 0.0000 0.0000 0.3813
Cu 0.0000 0.0000 0.8813
Sn 0.3333 0.6667 0.5649
Sn 0.6667 0.3333 0.0649
S 0.0814 0.5201 0.7490
S 0.1173 0.8542 0.4163
S 0.1458 0.2630 0.4163
S 0.2630 0.1173 0.9163
S 0.3333 0.6667 0.1807
S 0.4386 0.9186 0.7490
S 0.4799 0.5614 0.7490
S 0.5201 0.4386 0.2490
S 0.5614 0.0814 0.2490
S 0.6667 0.3333 0.6807
S 0.7370 0.8827 0.4163
S 0.8542 0.7370 0.9163
S 0.8827 0.1458 0.9163
S 0.9186 0.4799 0.2490

# 4
! Ho2CuSnS5 (GGA-PBE, relaxed); values from VASP
! Formation energy without anion corrections: -1209 meV/atom
! Size of the total moment: 0.0 μB per formula unit
&SYSTEM
  ibrav = 0, nat = 18, ntyp = 4
/
ATOMIC_SPECIES
Ho 164.93 Ho.upf
Cu 63.55 Cu.upf
Sn 118.71 Sn.upf
S 32.06 S.upf
CELL_PARAMETERS angstrom
1.8961 -8.1680 0.0000
1.8961 8.1680 0.0000
0.0000 0.0000 11.6683
ATOMIC_POSITIONS crystal
Ho 0.1168 0.8832 0.5000
Ho 0.1185 0.8815 0.8815
Ho 0.8815 0.1185 0.3815
Ho 0.8832 0.1168 0.0000
Cu 0.4993 0.5007 0.1876
Cu 0.5007 0.4993 0.6876
Sn 0.1859 0.8141 0.1957
Sn 0.8141 0.1859 0.6957
S 0.0360 0.9640 0.2786
S 0.2943 0.7057 0.8614
S 0.2965 0.7035 0.5232
S 0.3533 0.6467 0.1962
S 0.4921 0.5079 0.4939
S 0.5079 0.4921 0.9939
S 0.6467 0.3533 0.6962
S 0.7035 0.2965 0.0232
S 0.7057 0.2943 0.3614
S 0.9640 0.0360 0.7786